Here is an optimized crystal structure of CoMo2Ru from the Alexandria database. Energies are from GGA-PBEsol.

crystal system: trigonal
space group: R-3m, No. 166
excess energy over the best structure of this formula in the dataset: 0.179 eV/atom
E: -10.1538 eV/atom
ΔH_f (0 K): 0.2076 eV/atom

Geometry as CIF:
```
data_CoMo2Ru
_chemical_formula_sum 'Co1 Mo2 Ru1'
_cell_length_a 2.6894
_cell_length_b 2.6894
_cell_length_c 8.8145
_cell_angle_alpha 81.22
_cell_angle_beta 81.22
_cell_angle_gamma 60.00
_space_group_name_H-M_alt 'P 1'
_space_group_IT_number 1
loop_
_space_group_symop_operation_xyz
'x,y,z'
loop_
_atom_site_label
_atom_site_fract_x
_atom_site_fract_y
_atom_site_fract_z
Mo1 0.7474 0.7474 0.7577
Mo2 0.2526 0.2526 0.2423
Co1 0.0000 0.0000 0.0000
Ru1 0.5000 0.5000 0.5000
```

=====

Here is an optimized crystal structure of CoMo2Ru from the Alexandria database. Energies are from GGA-PBEsol.

crystal system: tetragonal
space group: I4/mmm, No. 139
excess energy over the best structure of this formula in the dataset: 0.003 eV/atom
E: -10.3299 eV/atom
ΔH_f (0 K): 0.0315 eV/atom

Geometry as CIF:
```
data_CoMo2Ru
_chemical_formula_sum 'Co1 Mo2 Ru1'
_cell_length_a 3.7905
_cell_length_b 3.7905
_cell_length_c 4.5939
_cell_angle_alpha 114.37
_cell_angle_beta 114.37
_cell_angle_gamma 90.00
_space_group_name_H-M_alt 'P 1'
_space_group_IT_number 1
loop_
_space_group_symop_operation_xyz
'x,y,z'
loop_
_atom_site_label
_atom_site_fract_x
_atom_site_fract_y
_atom_site_fract_z
Mo1 0.7500 0.2500 0.5000
Mo2 0.2500 0.7500 0.5000
Ru1 0.0000 0.0000 0.0000
Co1 0.5000 0.5000 0.0000
```

=====

Here is an optimized crystal structure of CoMo2S4 from the Alexandria database. Energies are from GGA-PBEsol.

crystal system: monoclinic
space group: C2/m, No. 12
uncorrected formation energy: -17.05 kcal/mol of atoms
E: -7.7123 eV/atom

Geometry as CIF:
```
data_CoMo2S4
_chemical_formula_sum 'Co1 Mo2 S4'
_cell_length_a 3.1564
_cell_length_b 5.8445
_cell_length_c 6.2729
_cell_angle_alpha 113.94
_cell_angle_beta 104.57
_cell_angle_gamma 90.00
_space_group_name_H-M_alt 'P 1'
_space_group_IT_number 1
loop_
_space_group_symop_operation_xyz
'x,y,z'
loop_
_atom_site_label
_atom_site_fract_x
_atom_site_fract_y
_atom_site_fract_z
S1 0.9044 0.5737 0.8089
S2 0.6316 0.9750 0.2632
S3 0.0956 0.4263 0.1911
S4 0.3684 0.0250 0.7368
Co1 0.0000 0.0000 0.0000
Mo1 0.2614 0.3166 0.5227
Mo2 0.7386 0.6834 0.4773
```

=====

Here is an optimized crystal structure of CoSbMo3 from the Alexandria database. Energies are from GGA-PBEsol.

crystal system: cubic
space group: Pm-3m, No. 221
uncorrected formation energy: 59.00 kcal/mol of atoms
E: -6.9611 eV/atom

Geometry as CIF:
```
data_CoSbMo3
_chemical_formula_sum 'Co1 Sb1 Mo3'
_cell_length_a 4.7906
_cell_length_b 4.7906
_cell_length_c 4.7906
_cell_angle_alpha 90.00
_cell_angle_beta 90.00
_cell_angle_gamma 90.00
_space_group_name_H-M_alt 'P 1'
_space_group_IT_number 1
loop_
_space_group_symop_operation_xyz
'x,y,z'
loop_
_atom_site_label
_atom_site_fract_x
_atom_site_fract_y
_atom_site_fract_z
Mo1 0.0000 0.0000 0.5000
Mo2 0.5000 0.0000 0.0000
Mo3 0.0000 0.5000 0.0000
Sb1 0.0000 0.0000 0.0000
Co1 0.5000 0.5000 0.5000
```

=====

Here is an optimized crystal structure of CoSbTe2Mo from the Alexandria database. Energies are from GGA-PBEsol.

crystal system: tetragonal
space group: P4/mmm, No. 123
uncorrected formation energy: 21.01 kcal/mol of atoms
E: -5.3118 eV/atom

Geometry as CIF:
```
data_CoSbTe2Mo
_chemical_formula_sum 'Co1 Sb1 Te2 Mo1'
_cell_length_a 4.6652
_cell_length_b 4.9685
_cell_length_c 4.9685
_cell_angle_alpha 90.00
_cell_angle_beta 90.00
_cell_angle_gamma 90.00
_space_group_name_H-M_alt 'P 1'
_space_group_IT_number 1
loop_
_space_group_symop_operation_xyz
'x,y,z'
loop_
_atom_site_label
_atom_site_fract_x
_atom_site_fract_y
_atom_site_fract_z
Co1 0.0000 0.0000 0.0000
Sb1 0.5000 0.0000 0.0000
Te1 0.0000 0.5000 0.0000
Te2 0.0000 0.0000 0.5000
Mo1 0.5000 0.5000 0.5000
```

=====

Here is an optimized crystal structure of Co2SbMoW from the Alexandria database. Energies are from GGA-PBEsol.

crystal system: tetragonal
space group: P4/mmm, No. 123
uncorrected formation energy: 47.07 kcal/mol of atoms
E: -7.0800 eV/atom

Geometry as CIF:
```
data_Co2SbMoW
_chemical_formula_sum 'Co2 Sb1 Mo1 W1'
_cell_length_a 4.3486
_cell_length_b 4.3486
_cell_length_c 4.9002
_cell_angle_alpha 90.00
_cell_angle_beta 90.00
_cell_angle_gamma 90.00
_space_group_name_H-M_alt 'P 1'
_space_group_IT_number 1
loop_
_space_group_symop_operation_xyz
'x,y,z'
loop_
_atom_site_label
_atom_site_fract_x
_atom_site_fract_y
_atom_site_fract_z
Co1 0.5000 0.0000 0.0000
Co2 0.0000 0.5000 0.0000
Mo1 0.5000 0.5000 0.5000
Sb1 0.0000 0.0000 0.0000
W1 0.0000 0.0000 0.5000
```

=====

What is the E in the third record? -7.7123 eV/atom